VASP calculation (GGA-PBE) on LaAgAs2 after structural relaxation.

Calculated values
ρ ... 6.44 g cm⁻³
Energy ... -19.65 eV per cell
Size of the total moment ... 0.0 μB per formula unit
Calculated volume ... 102.3 Å³/f.u.

The structure in CIF format:
```
data_LaAgAs2
_chemical_formula_sum 'La1 Ag1 As2'
_space_group_name_H-M_alt 'P 1 2/m 1'
_space_group_IT_number 10
_cell_length_a 4.226
_cell_length_b 4.130
_cell_length_c 5.872
_cell_angle_alpha 90.00
_cell_angle_beta 93.41
_cell_angle_gamma 90.00
loop_
_space_group_symop_operation_xyz
'x,y,z'
'-x,-y,-z'
'-x,y,-z'
'x,-y,z'
loop_
_atom_site_label
_atom_site_type_symbol
_atom_site_fract_x
_atom_site_fract_y
_atom_site_fract_z
La1 La 0.000 0.000 0.000
Ag1 Ag 0.500 0.000 0.500
As1 As 0.453 0.500 0.784
```